# TmUPb2O8 PBE optimized geometry
data_TmUPb2O8
_chemical_formula_sum 'Tm1 U1 Pb2 O8'
_cell_length_a 5.166
_cell_length_b 5.168
_cell_length_c 6.906
_cell_angle_alpha 90.00
_cell_angle_beta 90.00
_cell_angle_gamma 90.42
_symmetry_space_group_name_H-M 'P 1'
_symmetry_Int_Tables_number 1
_symmetry_space_group_name_Hall 'P 1'
loop_
_atom_site_label
_atom_site_type_symbol
_atom_site_fract_x
_atom_site_fract_y
_atom_site_fract_z
O1 O 0.179 0.821 0.232
O2 O 0.179 0.821 0.768
O3 O 0.703 0.703 0.000
O4 O 0.297 0.297 0.000
O5 O 0.695 0.695 0.500
O6 O 0.305 0.305 0.500
O7 O 0.821 0.179 0.232
O8 O 0.821 0.179 0.768
U1 U 0.000 0.000 0.000
Pb1 Pb 0.500 0.500 0.254
Pb2 Pb 0.500 0.500 0.746
Tm1 Tm 0.000 0.000 0.500
# Final energy (eV/f.u.): -89.150
# SG: No. 65